PBE with a Hubbard U NaNiO2, relaxed; magnetic moment = 2.00 μB per cell; symmetry = Cmcm, No. 63; VASP energy = -4.391 eV/atom
1.0
3.5732 0.0000 0.0001
0.0000 5.3913 0.0000
-1.7866 0.0000 5.4720
Ni O Na
2 4 2
Direct
0.9974 0.7500 0.9953
0.0026 0.2500 0.0047
0.1120 0.5044 0.2240
0.8880 0.4956 0.7760
0.1120 0.9956 0.2240
0.8880 0.0044 0.7760
0.7133 0.7500 0.4265
0.2867 0.2500 0.5735